A plane-wave DFT calculation with GGA-PBE was carried out for crystalline Nb3GeI at its relaxed geometry.

a b c (Å): 5.0053 5.0053 5.0053
angles (deg): 90.00 90.00 90.00
Fractional positions:
Nb 0.0000 0.0000 0.5000
Nb 0.0000 0.5000 0.0000
Nb 0.5000 0.0000 0.0000
Ge 0.5000 0.5000 0.5000
I 0.0000 0.0000 0.0000

- energy relative to the elements, uncorrected (eV per atom) = 1.70